# 1
# SrWSe3, optimized geometry, DFT GGA-PBE
# Uncorrected formation energy (meV/atom): 1632
# Energy above the most stable polymorph in this dataset (meV/atom): 2226
# Calculated volume (Å³ per cell): 165
data_SrWSe3
_chemical_formula_sum 'Sr1 W1 Se3'
_cell_length_a 5.481
_cell_length_b 5.481
_cell_length_c 5.481
_cell_angle_alpha 90.00
_cell_angle_beta 90.00
_cell_angle_gamma 90.00
_space_group_name_H-M_alt 'P m -3 m'
_space_group_IT_number 221
_space_group_name_Hall '-P 4 2 3'
loop_
_atom_site_label
_atom_site_type_symbol
_atom_site_fract_x
_atom_site_fract_y
_atom_site_fract_z
_atom_site_occupancy
Sr1 Sr 0.000 0.000 0.000 1
W1 W 0.500 0.500 0.500 1
Se1 Se 0.000 0.000 0.500 1

=====

# 2
# CsTlSb2Pb, optimized geometry, DFT GGA-PBE
# Uncorrected formation energy (meV/atom): -158
# Calculated volume (Å³ per cell): 385
data_CsTlSb2Pb
_chemical_formula_sum 'Cs2 Tl2 Sb4 Pb2'
_cell_length_a 4.999
_cell_length_b 5.801
_cell_length_c 13.285
_cell_angle_alpha 90.00
_cell_angle_beta 90.00
_cell_angle_gamma 90.00
_space_group_name_H-M_alt 'I m m 2'
_space_group_IT_number 44
_space_group_name_Hall 'I 2 -2'
loop_
_atom_site_label
_atom_site_type_symbol
_atom_site_fract_x
_atom_site_fract_y
_atom_site_fract_z
_atom_site_occupancy
Cs1 Cs 0.000 0.000 0.000 1
Tl1 Tl 0.000 0.500 0.738 1
Sb1 Sb 0.000 0.000 0.371 1
Sb2 Sb 0.000 0.500 0.275 1
Pb1 Pb 0.000 0.000 0.631 1

=====

# 3
# CsHI, optimized geometry, DFT GGA-PBE
# Energy above the most stable polymorph in this dataset (meV/atom): 677
# Calculated volume (Å³ per cell): 469
data_CsHI
_chemical_formula_sum 'Cs4 H4 I4'
_cell_length_a 14.664
_cell_length_b 5.022
_cell_length_c 6.386
_cell_angle_alpha 90.00
_cell_angle_beta 94.15
_cell_angle_gamma 90.00
_space_group_name_H-M_alt 'C 1 2/m 1'
_space_group_IT_number 12
_space_group_name_Hall '-C 2y'
loop_
_atom_site_label
_atom_site_type_symbol
_atom_site_fract_x
_atom_site_fract_y
_atom_site_fract_z
_atom_site_occupancy
Cs1 Cs 0.123 0.000 0.268 1
H1 H 0.189 0.500 0.485 1
I1 I 0.108 0.500 0.776 1

=====

# 4
# UAlP2, optimized geometry, DFT GGA-PBE
# Energy above the most stable polymorph in this dataset (meV/atom): 580
# Formation energy (eV per atom): -0.057
# Calculated volume (Å³ per cell): 312
data_UAlP2
_chemical_formula_sum 'U3 Al3 P6'
_cell_length_a 3.9879
_cell_length_b 3.9879
_cell_length_c 22.6639
_cell_angle_alpha 90.00
_cell_angle_beta 90.00
_cell_angle_gamma 120.00
_space_group_name_H-M_alt 'R -3 m'
_space_group_IT_number 166
_space_group_name_Hall '-R 3 2"'
loop_
_atom_site_label
_atom_site_type_symbol
_atom_site_fract_x
_atom_site_fract_y
_atom_site_fract_z
_atom_site_occupancy
U1 U 0.0000 0.0000 0.0000 1
Al1 Al 0.0000 0.0000 0.5000 1
P1 P 0.0000 0.0000 0.3987 1